DFT (PBE) results for a geometry-optimized LiGdDySi structure.

a b c (Å): 7.0589 7.0589 7.0589
angles (deg): 90.00 90.00 90.00
With the nearest neighbours (Å) after each atom.
Space group F-43m (No. 216)
Inequivalent atoms, fractional coordinates:
Li 0.0000 0.0000 0.0000  4 Gd 3.06, 4 Dy 3.06
Gd 0.2500 0.2500 0.7500  4 Li 3.06, 4 Si 3.06
Dy 0.2500 0.2500 0.2500  4 Li 3.06, 4 Si 3.06
Si 0.0000 0.0000 0.5000  4 Gd 3.06, 4 Dy 3.06

Results
calculated volume = 21.98 Å³ per atom
formation energy (no corrections) = -355 meV per atom